Te2RhAu | PBE-GGA | relaxed

abc: 7.373 7.373 7.373
angles: 130.31 130.31 72.91
Positions (direct):
Te  0.098  0.625  0.973
Te  0.375  0.348  0.473
Te  0.652  0.125  0.027
Te  0.875  0.902  0.527
Rh  0.000  0.000  0.000
Rh  0.750  0.250  0.500
Au  0.250  0.750  0.500
Au  0.500  0.500  0.000

Computed properties:
Volume   227.6 Å³/cell
Energy above the most stable polymorph in this dataset   198.8 meV/atom
Formation energy (no corrections)   -43 meV/atom
Space group   I-42d, No. 122

=====

TeRhAu2 | PBE-GGA | relaxed

abc: 5.832 5.814 3.917
angles: 70.59 70.10 39.31
Positions (direct):
Te  0.000  0.000  0.000
Rh  0.500  0.500  0.500
Au  0.000  0.500  0.500
Au  0.500  0.000  0.000

Computed properties:
Volume   78.6 Å³/cell
Formation energy (no corrections)   107 meV/atom
Space group   Fmmm, No. 69

=====

TeRh4Au2 | PBE-GGA | relaxed

abc: 7.345 7.345 7.345
angles: 141.49 141.49 55.59
Positions (direct):
Te  0.000  0.000  0.000
Rh  0.000  0.500  0.500
Rh  0.188  0.188  0.000
Rh  0.500  0.000  0.500
Rh  0.812  0.812  0.000
Au  0.390  0.390  0.000
Au  0.610  0.610  0.000

Computed properties:
Volume   152.5 Å³/cell
Formation energy (no corrections)   845 meV/atom
Space group   I4/mmm, No. 139

=====

Te2RhAu | PBE-GGA | relaxed

abc: 4.928 4.928 4.928
angles: 111.81 111.81 104.89
Positions (direct):
Te  0.000  0.500  0.500
Te  0.500  0.000  0.500
Rh  0.000  0.000  0.000
Au  0.500  0.500  0.000

Computed properties:
Volume   91.7 Å³/cell
Energy above the most stable polymorph in this dataset   354.5 meV/atom
Formation energy (no corrections)   113 meV/atom
Space group   I4/mmm, No. 139

=====

Y6Te3Rh2Au | PBE-GGA | relaxed

abc: 7.212 7.212 7.670
angles: 99.00 99.00 119.90
Positions (direct):
Y  0.076  0.428  0.785
Y  0.217  0.217  0.209
Y  0.428  0.076  0.785
Y  0.572  0.924  0.215
Y  0.783  0.783  0.791
Y  0.924  0.572  0.215
Te  0.000  0.000  0.500
Te  0.340  0.660  0.500
Te  0.660  0.340  0.500
Rh  0.168  0.832  0.000
Rh  0.832  0.168  0.000
Au  0.500  0.500  0.000

Computed properties:
Volume   328.5 Å³/cell
Formation energy (no corrections)   -1045 meV/atom
Space group   C2/m, No. 12

=====

Y2TeRhAu | PBE-GGA | relaxed

abc: 5.287 5.287 5.021
angles: 90.00 90.00 90.00
Positions (direct):
Y  0.000  0.500  0.000
Y  0.500  0.000  0.000
Te  0.000  0.000  0.500
Rh  0.500  0.500  0.000
Au  0.500  0.500  0.500

Computed properties:
Volume   140.3 Å³/cell
Formation energy (no corrections)   -467 meV/atom
Space group   P4/mmm, No. 123

=====

YTe2RhAu | PBE-GGA | relaxed

abc: 5.765 5.765 5.406
angles: 90.00 90.00 90.00
Positions (direct):
Y  0.000  0.000  0.000
Te  0.000  0.500  0.000
Te  0.500  0.000  0.000
Rh  0.500  0.500  0.500
Au  0.000  0.000  0.500

Computed properties:
Volume   179.7 Å³/cell
Formation energy (no corrections)   631 meV/atom
Space group   P4/mmm, No. 123

=====

ThRhAu | PBE-GGA | relaxed

abc: 5.365 5.365 5.365
angles: 139.05 139.05 59.30
Positions (direct):
Th  0.000  0.000  0.000
Rh  0.360  0.360  0.000
Au  0.680  0.680  0.000

Computed properties:
Volume   65.7 Å³/cell
Energy above the most stable polymorph in this dataset   97.2 meV/atom
Space group   I4mm, No. 107

=====

Copy entry 1 word for word.
Te2RhAu | PBE-GGA | relaxed

abc: 7.373 7.373 7.373
angles: 130.31 130.31 72.91
Positions (direct):
Te  0.098  0.625  0.973
Te  0.375  0.348  0.473
Te  0.652  0.125  0.027
Te  0.875  0.902  0.527
Rh  0.000  0.000  0.000
Rh  0.750  0.250  0.500
Au  0.250  0.750  0.500
Au  0.500  0.500  0.000

Computed properties:
Volume   227.6 Å³/cell
Energy above the most stable polymorph in this dataset   198.8 meV/atom
Formation energy (no corrections)   -43 meV/atom
Space group   I-42d, No. 122

=====

Question: Among the records above, which one has the highest volume?
Answer: Y6Te3Rh2Au

=====

Question: Which formula does entry 7 have?
Answer: YTe2RhAu